A plane-wave DFT calculation with PBE was carried out for Os after structural relaxation.

Computed properties:
The value obtained for the calculated volume is 57 Å³/cell. The value obtained for the energy above the most stable polymorph in this dataset is 0.001 eV per atom. The value obtained for the formation energy is 0.00 eV/atom. The calculation puts the density at 22.2 Mg/m³.

Unit cell a=5.142 b=5.142 c=5.142 alpha=148.98 beta=64.68 gamma=124.80
Sites, in units of the cell vectors:
Os (0.000, 0.000, 0.000)
Os (0.084, 0.334, 0.751)
Os (0.501, 0.001, 0.500)
Os (0.583, 0.334, 0.249)


A plane-wave DFT calculation with PBE was carried out for CsFeCuSe2S after structural relaxation.

Computed properties:
The value obtained for the calculated volume is 285 Å³/cell. The calculation puts the density at 5.2 Mg/m³. As for the total energy: -52.98 eV/cell.

Unit cell a=8.082 b=8.082 c=9.766 alpha=90.00 beta=90.00 gamma=153.48
Sites, in units of the cell vectors:
Cs (0.246, 0.754, 0.750)
Cs (0.754, 0.246, 0.250)
Fe (0.500, 0.500, 0.000)
Fe (0.500, 0.500, 0.500)
Cu (0.031, 0.969, 0.250)
Cu (0.969, 0.031, 0.750)
Se (0.102, 0.898, 0.035)
Se (0.102, 0.898, 0.465)
Se (0.898, 0.102, 0.535)
Se (0.898, 0.102, 0.965)
S (0.448, 0.552, 0.250)
S (0.552, 0.448, 0.750)